1.
! CsAs2Pt PBE optimized geometry; values from VASP
&SYSTEM
  ibrav = 0, nat = 4, ntyp = 3
/
ATOMIC_SPECIES
Cs 132.91 Cs.upf
As 74.92 As.upf
Pt 195.08 Pt.upf
CELL_PARAMETERS angstrom
3.6160 0.0000 0.0000
0.0000 3.6160 0.0000
0.0000 0.0000 7.7113
ATOMIC_POSITIONS crystal
Cs 0.0000 0.0000 0.0000
As 0.5000 0.5000 0.3478
As 0.5000 0.5000 0.6522
Pt 0.0000 0.0000 0.5000
! Polymorph energy (0 for the lowest one), meV per atom: 342
! Uncorrected energy, eV per atom: -4.13
! Size of the total moment, μB/f.u.: 0.00
! DOS at the Fermi energy, states/eV per cell: 1.40
! Formation energy, eV/atom: -0.09

2.
! Ac3Al2Tl4 PBE optimized geometry; values from VASP
&SYSTEM
  ibrav = 0, nat = 9, ntyp = 3
/
ATOMIC_SPECIES
Ac 227.00 Ac.upf
Al 26.98 Al.upf
Tl 204.38 Tl.upf
CELL_PARAMETERS angstrom
6.1223 -2.5099 0.0000
6.1223 2.5099 0.0000
-3.7736 0.0000 8.9427
ATOMIC_POSITIONS crystal
Ac 0.0000 0.0000 0.0000
Ac 0.3542 0.3542 0.3230
Ac 0.6458 0.6458 0.6770
Al 0.3547 0.3547 0.6951
Al 0.6453 0.6453 0.3049
Tl 0.0972 0.0972 0.4154
Tl 0.3059 0.3059 0.9588
Tl 0.6941 0.6941 0.0412
Tl 0.9028 0.9028 0.5846
! Uncorrected energy, eV per atom: -3.54
! Size of the total moment, μB/f.u.: 0.00
! DOS at the Fermi energy, states/eV per cell: 4.83
! Formation energy, eV/atom: -0.28

3.
! Ag3HgAu3 PBE optimized geometry; values from VASP
&SYSTEM
  ibrav = 0, nat = 14, ntyp = 3
/
ATOMIC_SPECIES
Ag 107.87 Ag.upf
Hg 200.59 Hg.upf
Au 196.97 Au.upf
CELL_PARAMETERS angstrom
8.4108 0.0000 0.0000
-4.2054 7.2840 0.0000
0.0000 0.0000 4.8717
ATOMIC_POSITIONS crystal
Ag 0.1183 0.2365 0.2500
Ag 0.1183 0.8817 0.2500
Ag 0.2365 0.1183 0.7500
Ag 0.7635 0.8817 0.2500
Ag 0.8817 0.1183 0.7500
Ag 0.8817 0.7635 0.7500
Hg 0.3333 0.6667 0.2500
Hg 0.6667 0.3333 0.7500
Au 0.2217 0.4434 0.7500
Au 0.2217 0.7783 0.7500
Au 0.4434 0.2217 0.2500
Au 0.5566 0.7783 0.7500
Au 0.7783 0.2217 0.2500
Au 0.7783 0.5566 0.2500
! Polymorph energy (0 for the lowest one), meV per atom: 24
! Uncorrected energy, eV per atom: -2.60
! Size of the total moment, μB/f.u.: 0.00
! DOS at the Fermi energy, states/eV per cell: 5.40
! Formation energy, eV/atom: 0.07

4.
! Ce3DyTh3Se8 PBE optimized geometry; values from VASP
&SYSTEM
  ibrav = 0, nat = 15, ntyp = 4
/
ATOMIC_SPECIES
Ce 140.12 Ce.upf
Dy 162.50 Dy.upf
Th 232.04 Th.upf
Se 78.96 Se.upf
CELL_PARAMETERS angstrom
4.1750 2.4105 6.8293
-4.1750 2.4105 6.8293
0.0000 -4.8209 6.8293
ATOMIC_POSITIONS crystal
Ce 0.0000 0.5000 0.5000
Ce 0.5000 0.0000 0.5000
Ce 0.5000 0.5000 0.0000
Dy 0.5000 0.5000 0.5000
Th 0.0000 0.0000 0.5000
Th 0.0000 0.5000 0.0000
Th 0.5000 0.0000 0.0000
Se 0.2511 0.2511 0.2511
Se 0.2506 0.2506 0.7487
Se 0.2506 0.7487 0.2506
Se 0.2513 0.7494 0.7494
Se 0.7487 0.2506 0.2506
Se 0.7494 0.2513 0.7494
Se 0.7494 0.7494 0.2513
Se 0.7489 0.7489 0.7489
! Uncorrected energy, eV per atom: -6.57
! Size of the total moment, μB/f.u.: 2.24
! DOS at the Fermi energy, states/eV per cell: 21.42